No. 1
{"formula": "RbCu2F4", "functional": "PBE", "state": "relaxed", "raw_formation_energy_kj_per_mol_atoms": -165.72, "total_energy_ev_per_atom": -4.0954, "e_above_lowest_polymorph_mev_per_atom": 79, "volume_a3_per_atom": 19.4, "total_magnetization_mub_per_cell": 0.1, "lattice_angstrom": [[5.5762, 0.0000, 0.0000], [0.0000, 5.5762, 0.0000], [0.0000, 0.0000, 4.3649]], "species": ["Rb", "Cu", "Cu", "F", "F", "F", "F"], "frac_coords": [[0.0000, 0.0000, 0.0000], [0.0000, 0.5000, 0.5000], [0.5000, 0.0000, 0.5000], [0.2449, 0.2449, 0.5000], [0.2449, 0.7551, 0.5000], [0.7551, 0.2449, 0.5000], [0.7551, 0.7551, 0.5000]]}


No. 2
{"formula": "HfBe3Ge", "functional": "PBE", "state": "relaxed", "delta_e_f_mev_per_atom": 754, "total_energy_ev_per_atom": -4.3960, "e_above_lowest_polymorph_mev_per_atom": 0, "volume_a3_per_atom": 14.7, "total_magnetization_mub_per_cell": 0.0, "lattice_angstrom": [[4.1875, 0.0000, 0.0000], [0.0000, 4.1875, 0.0000], [0.0000, 0.0000, 4.1875]], "species": ["Hf", "Be", "Be", "Be", "Ge"], "frac_coords": [[0.0000, 0.0000, 0.0000], [0.0000, 0.5000, 0.5000], [0.5000, 0.0000, 0.5000], [0.5000, 0.5000, 0.0000], [0.5000, 0.5000, 0.5000]]}


No. 3
{"formula": "Ba4LiAc3S8", "functional": "PBE", "state": "relaxed", "raw_formation_energy_kj_per_mol_atoms": -190.22, "total_energy_ev_per_atom": -5.4058, "volume_a3_per_atom": 30.2, "total_magnetization_mub_per_cell": 0.0, "lattice_angstrom": [[4.3843, 2.5313, 7.2505], [-4.3843, 2.5313, 7.2505], [0.0000, -5.0626, 7.2505]], "species": ["Ba", "Ba", "Ba", "Ba", "Li", "Ac", "Ac", "Ac", "S", "S", "S", "S", "S", "S", "S", "S"], "frac_coords": [[0.0000, 0.0000, 0.0000], [0.0000, 0.5000, 0.5000], [0.5000, 0.0000, 0.5000], [0.5000, 0.5000, 0.0000], [0.5000, 0.5000, 0.5000], [0.0000, 0.0000, 0.5000], [0.0000, 0.5000, 0.0000], [0.5000, 0.0000, 0.0000], [0.2422, 0.7436, 0.7436], [0.2441, 0.2441, 0.2441], [0.2564, 0.2564, 0.7578], [0.2564, 0.7578, 0.2564], [0.7436, 0.2422, 0.7436], [0.7436, 0.7436, 0.2422], [0.7559, 0.7559, 0.7559], [0.7578, 0.2564, 0.2564]]}


No. 4
{"formula": "NbCuF2", "functional": "PBE", "state": "relaxed", "raw_formation_energy_kj_per_mol_atoms": -55.29, "total_energy_ev_per_atom": -5.0502, "e_above_lowest_polymorph_mev_per_atom": 470, "volume_a3_per_atom": 12.5, "total_magnetization_mub_per_cell": 2.0, "lattice_angstrom": [[0.0000, 2.9258, 2.9258], [2.9258, 0.0000, 2.9258], [2.9258, 2.9258, 0.0000]], "species": ["Nb", "Cu", "F", "F"], "frac_coords": [[0.0000, 0.0000, 0.0000], [0.5000, 0.5000, 0.5000], [0.2500, 0.2500, 0.2500], [0.7500, 0.7500, 0.7500]]}


No. 5
{"formula": "Nd3ScTl4Se8", "functional": "PBE", "state": "relaxed", "raw_formation_energy_kj_per_mol_atoms": -128.66, "total_energy_ev_per_atom": -4.9569, "volume_a3_per_atom": 30.2, "total_magnetization_mub_per_cell": 0.0, "lattice_angstrom": [[4.2437, 2.4501, 7.7495], [-4.2437, 2.4501, 7.7495], [0.0000, -4.9002, 7.7495]], "species": ["Nd", "Nd", "Nd", "Sc", "Tl", "Tl", "Tl", "Tl", "Se", "Se", "Se", "Se", "Se", "Se", "Se", "Se"], "frac_coords": [[0.0000, 0.5000, 0.5000], [0.5000, 0.0000, 0.5000], [0.5000, 0.5000, 0.0000], [0.0000, 0.0000, 0.0000], [0.0000, 0.0000, 0.5000], [0.0000, 0.5000, 0.0000], [0.5000, 0.0000, 0.0000], [0.5000, 0.5000, 0.5000], [0.2257, 0.2257, 0.7528], [0.2257, 0.7528, 0.2257], [0.2472, 0.7743, 0.7743], [0.2621, 0.2621, 0.2621], [0.7379, 0.7379, 0.7379], [0.7528, 0.2257, 0.2257], [0.7743, 0.2472, 0.7743], [0.7743, 0.7743, 0.2472]]}


No. 6
{"formula": "KHg2I4", "functional": "PBE", "state": "relaxed", "raw_formation_energy_kj_per_mol_atoms": -56.53, "total_energy_ev_per_atom": -1.7147, "e_above_lowest_polymorph_mev_per_atom": 0, "volume_a3_per_atom": 46.7, "total_magnetization_mub_per_cell": 0.0, "lattice_angstrom": [[7.5038, 0.0000, 0.0000], [-0.0300, 8.9097, 0.0000], [-3.0656, -3.3131, 9.7796]], "species": ["K", "K", "Hg", "Hg", "Hg", "Hg", "I", "I", "I", "I", "I", "I", "I", "I"], "frac_coords": [[0.0000, 0.0000, 0.0000], [0.3095, 0.0102, 0.6641], [0.6052, 0.0049, 0.2825], [0.6759, 0.5586, 0.0037], [0.6964, 0.5608, 0.4896], [0.9361, 0.4191, 0.8889], [0.0060, 0.6384, 0.7285], [0.2732, 0.0621, 0.3388], [0.3273, 0.3606, 0.9857], [0.3347, 0.6049, 0.4659], [0.5220, 0.8693, 0.9721], [0.8151, 0.0975, 0.6981], [0.8273, 0.7574, 0.3281], [0.8293, 0.2862, 0.3214]]}


No. 7
{"formula": "Sr3Rh2O9", "functional": "PBE", "state": "relaxed", "raw_formation_energy_kj_per_mol_atoms": -145.98, "total_energy_ev_per_atom": -6.1110, "volume_a3_per_atom": 13.3, "total_magnetization_mub_per_cell": 11.4, "lattice_angstrom": [[4.8728, 2.8133, 4.5399], [-4.8728, 2.8133, 4.5399], [0.0000, -5.6267, 4.5399]], "species": ["Sr", "Sr", "Sr", "Sr", "Sr", "Sr", "Rh", "Rh", "Rh", "Rh", "O", "O", "O", "O", "O", "O", "O", "O", "O", "O", "O", "O", "O", "O", "O", "O", "O", "O"], "frac_coords": [[0.0821, 0.7500, 0.4179], [0.2500, 0.5821, 0.9179], [0.4179, 0.0821, 0.7500], [0.5821, 0.9179, 0.2500], [0.7500, 0.4179, 0.0821], [0.9179, 0.2500, 0.5821], [0.1477, 0.1477, 0.1477], [0.3523, 0.3523, 0.3523], [0.6477, 0.6477, 0.6477], [0.8523, 0.8523, 0.8523], [0.0822, 0.2563, 0.9144], [0.0856, 0.9178, 0.7437], [0.0929, 0.4071, 0.2500], [0.2437, 0.4178, 0.5856], [0.2500, 0.0929, 0.4071], [0.2563, 0.9144, 0.0822], [0.4071, 0.2500, 0.0929], [0.4144, 0.7563, 0.5822], [0.4178, 0.5856, 0.2437], [0.5822, 0.4144, 0.7563], [0.5856, 0.2437, 0.4178], [0.5929, 0.7500, 0.9071], [0.7437, 0.0856, 0.9178], [0.7500, 0.9071, 0.5929], [0.7563, 0.5822, 0.4144], [0.9071, 0.5929, 0.7500], [0.9144, 0.0822, 0.2563], [0.9178, 0.7437, 0.0856]]}


No. 8
{"formula": "Sc2TaAgN", "functional": "PBE", "state": "relaxed", "raw_formation_energy_kj_per_mol_atoms": -65.99, "total_energy_ev_per_atom": -7.8224, "volume_a3_per_atom": 16.6, "total_magnetization_mub_per_cell": 0.0, "lattice_angstrom": [[4.4184, 0.0000, 0.0000], [0.0000, 4.4184, 0.0000], [0.0000, 0.0000, 4.2529]], "species": ["Sc", "Sc", "Ta", "Ag", "N"], "frac_coords": [[0.0000, 0.5000, 0.0000], [0.5000, 0.0000, 0.0000], [0.0000, 0.0000, 0.5000], [0.5000, 0.5000, 0.5000], [0.0000, 0.0000, 0.0000]]}


No. 9
{"formula": "TbTh2Se5", "functional": "PBE", "state": "relaxed", "raw_formation_energy_kj_per_mol_atoms": -167.75, "total_energy_ev_per_atom": -6.3501, "volume_a3_per_atom": 26.4, "total_magnetization_mub_per_cell": 0.0, "lattice_angstrom": [[8.2012, 0.0000, 0.0000], [0.0000, 12.6187, 0.0000], [0.0000, 0.0000, 4.0796]], "species": ["Tb", "Tb", "Th", "Th", "Th", "Th", "Se", "Se", "Se", "Se", "Se", "Se", "Se", "Se", "Se", "Se"], "frac_coords": [[0.0000, 0.0000, 0.0000], [0.5000, 0.5000, 0.0000], [0.0184, 0.3220, 0.5000], [0.4816, 0.8220, 0.5000], [0.5184, 0.1780, 0.5000], [0.9816, 0.6780, 0.5000], [0.0000, 0.5000, 0.0000], [0.1695, 0.1062, 0.5000], [0.1861, 0.8053, 0.0000], [0.3139, 0.3053, 0.0000], [0.3305, 0.6062, 0.5000], [0.5000, 0.0000, 0.0000], [0.6695, 0.3938, 0.5000], [0.6861, 0.6947, 0.0000], [0.8139, 0.1947, 0.0000], [0.8305, 0.8938, 0.5000]]}


No. 10
{"formula": "PtAuI2", "functional": "PBE", "state": "relaxed", "raw_formation_energy_kj_per_mol_atoms": 77.28, "total_energy_ev_per_atom": -2.3037, "e_above_lowest_polymorph_mev_per_atom": 550, "volume_a3_per_atom": 24.2, "total_magnetization_mub_per_cell": 0.0, "lattice_angstrom": [[0.0000, 3.6459, 3.6459], [3.6459, 0.0000, 3.6459], [3.6459, 3.6459, 0.0000]], "species": ["Pt", "Au", "I", "I"], "frac_coords": [[0.0000, 0.0000, 0.0000], [0.5000, 0.5000, 0.5000], [0.2500, 0.2500, 0.2500], [0.7500, 0.7500, 0.7500]]}


No. 11
{"formula": "BaCoSe2Br", "functional": "PBE", "state": "relaxed", "raw_formation_energy_kj_per_mol_atoms": 52.81, "total_energy_ev_per_atom": -2.9868, "e_above_lowest_polymorph_mev_per_atom": 1408, "volume_a3_per_atom": 47.1, "total_magnetization_mub_per_cell": 4.1, "lattice_angstrom": [[6.2173, 0.0000, 0.0000], [0.0000, 6.2173, 0.0000], [0.0000, 0.0000, 6.0929]], "species": ["Ba", "Co", "Se", "Se", "Br"], "frac_coords": [[0.0000, 0.0000, 0.0000], [0.5000, 0.5000, 0.5000], [0.0000, 0.5000, 0.0000], [0.5000, 0.0000, 0.0000], [0.0000, 0.0000, 0.5000]]}


No. 12
{"formula": "Ba2MnTc", "functional": "PBE", "state": "relaxed", "delta_e_f_mev_per_atom": 1575, "total_energy_ev_per_atom": -4.2703, "e_above_lowest_polymorph_mev_per_atom": 1172, "volume_a3_per_atom": 28.1, "total_magnetization_mub_per_cell": 1.8, "lattice_angstrom": [[0.0000, 3.8305, 3.8305], [3.8305, 0.0000, 3.8305], [3.8305, 3.8305, 0.0000]], "species": ["Ba", "Ba", "Mn", "Tc"], "frac_coords": [[0.2500, 0.2500, 0.2500], [0.7500, 0.7500, 0.7500], [0.0000, 0.0000, 0.0000], [0.5000, 0.5000, 0.5000]]}


No. 13
{"formula": "HfCd2Pt2", "functional": "PBE", "state": "relaxed", "delta_e_f_mev_per_atom": 107, "total_energy_ev_per_atom": -4.6659, "e_above_lowest_polymorph_mev_per_atom": 555, "volume_a3_per_atom": 19.9, "total_magnetization_mub_per_cell": 0.0, "lattice_angstrom": [[-1.9848, 1.9848, 6.3119], [1.9848, -1.9848, 6.3119], [1.9848, 1.9848, -6.3119]], "species": ["Hf", "Cd", "Cd", "Pt", "Pt"], "frac_coords": [[0.0000, 0.0000, 0.0000], [0.3956, 0.3956, 0.0000], [0.6044, 0.6044, 0.0000], [0.2500, 0.7500, 0.5000], [0.7500, 0.2500, 0.5000]]}


No. 14
{"formula": "BaSr2CaAg", "functional": "PBE", "state": "relaxed", "delta_e_f_mev_per_atom": -92, "total_energy_ev_per_atom": -2.1198, "e_above_lowest_polymorph_mev_per_atom": 0, "volume_a3_per_atom": 47.8, "total_magnetization_mub_per_cell": 0.0, "lattice_angstrom": [[6.2970, 0.0000, 0.0000], [0.0000, 6.2970, 0.0000], [0.0000, 0.0000, 6.0307]], "species": ["Ba", "Sr", "Sr", "Ca", "Ag"], "frac_coords": [[0.0000, 0.0000, 0.0000], [0.0000, 0.5000, 0.5000], [0.5000, 0.0000, 0.5000], [0.5000, 0.5000, 0.0000], [0.5000, 0.5000, 0.5000]]}


No. 15
{"formula": "Tl5BiO5", "functional": "PBE", "state": "relaxed", "raw_formation_energy_kj_per_mol_atoms": -58.79, "total_energy_ev_per_atom": -4.2914, "volume_a3_per_atom": 20.1, "total_magnetization_mub_per_cell": 0.0, "lattice_angstrom": [[5.6134, -2.5608, 0.0000], [5.6134, 2.5608, 0.0000], [-1.4591, 0.0000, 7.6827]], "species": ["Tl", "Tl", "Tl", "Tl", "Tl", "Bi", "O", "O", "O", "O", "O"], "frac_coords": [[0.0000, 0.0000, 0.0000], [0.3254, 0.3254, 0.6498], [0.3365, 0.3365, 0.1635], [0.6635, 0.6635, 0.8365], [0.6746, 0.6746, 0.3502], [0.0000, 0.0000, 0.5000], [0.1463, 0.1463, 0.7527], [0.1763, 0.1763, 0.3596], [0.5000, 0.5000, 0.5000], [0.8237, 0.8237, 0.6404], [0.8537, 0.8537, 0.2473]]}


No. 16
{"formula": "BaH2O", "functional": "PBE", "state": "relaxed", "total_energy_ev_per_atom": -4.7181, "e_above_lowest_polymorph_mev_per_atom": 0, "volume_a3_per_atom": 14.4, "total_magnetization_mub_per_cell": 0.0, "lattice_angstrom": [[4.1155, 0.0000, 0.0000], [0.0000, 4.1155, 0.0000], [0.0000, 0.0000, 6.8119]], "species": ["Ba", "Ba", "H", "H", "H", "H", "O", "O"], "frac_coords": [[0.2500, 0.2500, 0.2380], [0.7500, 0.7500, 0.7620], [0.2500, 0.2500, 0.6991], [0.2500, 0.7500, 0.5000], [0.7500, 0.2500, 0.5000], [0.7500, 0.7500, 0.3009], [0.2500, 0.2500, 0.8432], [0.7500, 0.7500, 0.1568]]}


No. 17
{"formula": "VGa3W", "functional": "PBE", "state": "relaxed", "delta_e_f_mev_per_atom": 876, "total_energy_ev_per_atom": -5.3543, "e_above_lowest_polymorph_mev_per_atom": 0, "volume_a3_per_atom": 23.0, "total_magnetization_mub_per_cell": 2.6, "lattice_angstrom": [[4.8594, 0.0000, 0.0000], [0.0000, 4.8594, 0.0000], [0.0000, 0.0000, 4.8594]], "species": ["V", "Ga", "Ga", "Ga", "W"], "frac_coords": [[0.0000, 0.0000, 0.0000], [0.0000, 0.5000, 0.5000], [0.5000, 0.0000, 0.5000], [0.5000, 0.5000, 0.0000], [0.5000, 0.5000, 0.5000]]}


No. 18
{"formula": "BeCuSi", "functional": "PBE", "state": "relaxed", "raw_formation_energy_kj_per_mol_atoms": 14.36, "total_energy_ev_per_atom": -4.2663, "e_above_lowest_polymorph_mev_per_atom": 106, "volume_a3_per_atom": 13.2, "total_magnetization_mub_per_cell": 0.0, "lattice_angstrom": [[0.0000, 2.7075, 2.7075], [2.7075, 0.0000, 2.7075], [2.7075, 2.7075, 0.0000]], "species": ["Be", "Cu", "Si"], "frac_coords": [[0.0000, 0.0000, 0.0000], [0.5000, 0.5000, 0.5000], [0.7500, 0.7500, 0.7500]]}


No. 19
{"formula": "Hf4MgIn5", "functional": "PBE", "state": "relaxed", "delta_e_f_mev_per_atom": -118, "total_energy_ev_per_atom": -5.6280, "volume_a3_per_atom": 21.9, "total_magnetization_mub_per_cell": 0.0, "lattice_angstrom": [[3.1224, 0.0000, 0.0000], [0.0000, 3.1224, 0.0000], [0.0000, 0.0000, 22.4606]], "species": ["Hf", "Hf", "Hf", "Hf", "Mg", "In", "In", "In", "In", "In"], "frac_coords": [[0.0000, 0.0000, 0.1000], [0.0000, 0.0000, 0.2961], [0.0000, 0.0000, 0.7039], [0.0000, 0.0000, 0.9000], [0.0000, 0.0000, 0.5000], [0.5000, 0.5000, 0.0000], [0.5000, 0.5000, 0.1977], [0.5000, 0.5000, 0.3977], [0.5000, 0.5000, 0.6023], [0.5000, 0.5000, 0.8023]]}


No. 20
{"formula": "Y8Ni2Os", "functional": "PBE", "state": "relaxed", "delta_e_f_mev_per_atom": -112, "total_energy_ev_per_atom": -6.8849, "volume_a3_per_atom": 26.7, "total_magnetization_mub_per_cell": 0.0, "lattice_angstrom": [[4.1120, -6.2647, 0.0000], [4.1120, 6.2647, 0.0000], [-1.9326, 0.0000, 5.6935]], "species": ["Y", "Y", "Y", "Y", "Y", "Y", "Y", "Y", "Ni", "Ni", "Os"], "frac_coords": [[0.0000, 0.0000, 0.0000], [0.0182, 0.2776, 0.5916], [0.1444, 0.5707, 0.1781], [0.2776, 0.0182, 0.5916], [0.4324, 0.6899, 0.7840], [0.5707, 0.1444, 0.1781], [0.6899, 0.4324, 0.7840], [0.7121, 0.7121, 0.3540], [0.0413, 0.6633, 0.6779], [0.6633, 0.0413, 0.6779], [0.3586, 0.3586, 0.0127]]}


No. 21
{"formula": "Rb3MoBr8", "functional": "PBE", "state": "relaxed", "raw_formation_energy_kj_per_mol_atoms": -103.76, "total_energy_ev_per_atom": -3.3351, "e_above_lowest_polymorph_mev_per_atom": 0, "volume_a3_per_atom": 37.3, "total_magnetization_mub_per_cell": 2.0, "lattice_angstrom": [[10.3678, 0.0000, 0.0000], [-5.1839, 8.9788, 0.0000], [0.0000, 0.0000, 9.6097]], "species": ["Rb", "Rb", "Rb", "Rb", "Rb", "Rb", "Mo", "Mo", "Br", "Br", "Br", "Br", "Br", "Br", "Br", "Br", "Br", "Br", "Br", "Br", "Br", "Br", "Br", "Br"], "frac_coords": [[0.1507, 0.3014, 0.0000], [0.1507, 0.8493, 0.0000], [0.3014, 0.1507, 0.5000], [0.6986, 0.8493, 0.0000], [0.8493, 0.1507, 0.5000], [0.8493, 0.6986, 0.5000], [0.3333, 0.6667, 0.4483], [0.6667, 0.3333, 0.9483], [0.0000, 0.0000, 0.2581], [0.0000, 0.0000, 0.7581], [0.1051, 0.5526, 0.2998], [0.2186, 0.4372, 0.6051], [0.2186, 0.7814, 0.6051], [0.3333, 0.6667, 0.9620], [0.4372, 0.2186, 0.1051], [0.4474, 0.5526, 0.2998], [0.4474, 0.8949, 0.2998], [0.5526, 0.1051, 0.7998], [0.5526, 0.4474, 0.7998], [0.5628, 0.7814, 0.6051], [0.6667, 0.3333, 0.4620], [0.7814, 0.2186, 0.1051], [0.7814, 0.5628, 0.1051], [0.8949, 0.4474, 0.7998]]}


No. 22
{"formula": "BaCaCr", "functional": "PBE", "state": "relaxed", "delta_e_f_mev_per_atom": 534, "total_energy_ev_per_atom": -3.9822, "e_above_lowest_polymorph_mev_per_atom": 213, "volume_a3_per_atom": 38.0, "total_magnetization_mub_per_cell": 4.5, "lattice_angstrom": [[-2.0260, 2.0260, 6.9515], [2.0260, -2.0260, 6.9515], [2.0260, 2.0260, -6.9515]], "species": ["Ba", "Ca", "Cr"], "frac_coords": [[0.0000, 0.0000, 0.0000], [0.7228, 0.7228, 0.0000], [0.3415, 0.3415, 0.0000]]}


No. 23
{"formula": "ScInHg2Cl", "functional": "PBE", "state": "relaxed", "raw_formation_energy_kj_per_mol_atoms": 9.10, "total_energy_ev_per_atom": -2.2097, "volume_a3_per_atom": 34.3, "total_magnetization_mub_per_cell": 0.4, "lattice_angstrom": [[5.4382, 0.0000, 0.0000], [0.0000, 5.4382, 0.0000], [0.0000, 0.0000, 5.7946]], "species": ["Sc", "In", "Hg", "Hg", "Cl"], "frac_coords": [[0.0000, 0.0000, 0.0000], [0.0000, 0.0000, 0.5000], [0.0000, 0.5000, 0.5000], [0.5000, 0.0000, 0.5000], [0.5000, 0.5000, 0.0000]]}